[1]
First-principles (PBE) data for a relaxed ReSiAs2 crystal, as listed in the Alexandria database.

- E (eV per atom) = -6.30
- spin magnetization (μB/f.u.) = 0.00

```
data_ReSiAs2
_cell_length_a 5.663
_cell_length_b 5.663
_cell_length_c 10.933
_cell_angle_alpha 90.00
_cell_angle_beta 90.00
_cell_angle_gamma 90.00
_symmetry_space_group_name_H-M 'I -4 2 d'
_symmetry_Int_Tables_number 122
_symmetry_space_group_name_Hall 'I -4 2bw'
loop_
_atom_site_label
_atom_site_type_symbol
_atom_site_fract_x
_atom_site_fract_y
_atom_site_fract_z
_atom_site_occupancy
Re1 Re 0.000 0.000 0.000 1
Si1 Si 0.000 0.000 0.500 1
As1 As 0.246 0.250 0.125 1
```


[2]
First-principles (PBE) data for a relaxed InTeOs2 crystal, as listed in the Alexandria database.

- E (eV per atom) = -6.38
- spin magnetization (μB/f.u.) = 0.00

```
data_InTeOs2
_cell_length_a 8.783
_cell_length_b 3.080
_cell_length_c 5.543
_cell_angle_alpha 90.00
_cell_angle_beta 102.89
_cell_angle_gamma 90.00
_symmetry_space_group_name_H-M 'C 1 2/m 1'
_symmetry_Int_Tables_number 12
loop_
_symmetry_equiv_pos_as_xyz
'x,y,z'
'-x,-y,-z'
'-x,y,-z'
'x,-y,z'
'x+1/2,y+1/2,z'
'-x+1/2,-y+1/2,-z'
'-x+1/2,y+1/2,-z'
'x+1/2,-y+1/2,z'
loop_
_atom_site_label
_atom_site_type_symbol
_atom_site_fract_x
_atom_site_fract_y
_atom_site_fract_z
_atom_site_occupancy
In1 In 0.000 0.000 0.000 1
Te1 Te 0.000 0.500 0.500 1
Os1 Os 0.245 0.500 0.283 1
```


Number 1: calculated density 6.9 g/cm³. Number 2: calculated density 14.2 g/cm³.